Entry 1:
Density functional theory data (PBE) for a relaxed BeBiC3 crystal.

Summary:
VASP energy = -16.70 eV per formula unit
distance to the lowest polymorph of the same formula = 1.374 eV per atom
ΔE_f = 18.58 eV per formula unit
total magnetic moment = 1.8 μB/f.u.

Lattice parameters (Å, degrees): 4.4838 4.4838 4.4838 90.00 90.00 90.00
Space group Pm-3m (No. 221)
One atom of each set of equivalent atoms:
Be 0.0000 0.0000 0.0000 [1 per cell]
Bi 0.5000 0.5000 0.5000 [1 per cell]
C 0.0000 0.5000 0.5000 [3 per cell]

---

Entry 2:
Density functional theory data (PBE) for a relaxed BeBi3C crystal.

Summary:
VASP energy = -17.95 eV per formula unit
distance to the lowest polymorph of the same formula = 0.000 eV per atom
ΔE_f = 6.64 eV per formula unit
total magnetic moment = 0.0 μB/f.u.

Lattice parameters (Å, degrees): 4.9593 4.9593 4.9593 90.00 90.00 90.00
Space group Pm-3m (No. 221)
One atom of each set of equivalent atoms:
Be 0.0000 0.0000 0.0000 [1 per cell]
Bi 0.0000 0.5000 0.5000 [3 per cell]
C 0.5000 0.5000 0.5000 [1 per cell]

---

> Which formula does entry 1 have?

BeBiC3